[1]
# NaTl2O3, optimized geometry, DFT PBE-GGA
data_NaTl2O3
_symmetry_space_group_name_H-M 'P 63/m m c'
_symmetry_Int_Tables_number 194
_symmetry_space_group_name_Hall '-P 6c 2c'
_cell_length_a 3.4929
_cell_length_b 3.4929
_cell_length_c 17.3880
_cell_angle_alpha 90.00
_cell_angle_beta 90.00
_cell_angle_gamma 120.00
loop_
_atom_site_label
_atom_site_type_symbol
_atom_site_fract_x
_atom_site_fract_y
_atom_site_fract_z
_atom_site_occupancy
Na1 Na 0.0000 0.0000 0.2500 1
Tl1 Tl 0.3333 0.6667 0.0877 1
O1 O 0.0000 0.0000 0.0000 1
O2 O 0.3333 0.6667 0.6577 1
# * density of states at the Fermi level: 0.366 states/eV per atom
# * formation energy without anion corrections: -0.810 eV per atom
# * crystal system: hexagonal


[2]
# TmZnAs2O8, optimized geometry, DFT PBE-GGA
data_TmZnAs2O8
_symmetry_space_group_name_H-M 'I -4 m 2'
_symmetry_Int_Tables_number 119
_symmetry_space_group_name_Hall 'I -4 -2'
_cell_length_a 6.962
_cell_length_b 6.962
_cell_length_c 6.305
_cell_angle_alpha 90.00
_cell_angle_beta 90.00
_cell_angle_gamma 90.00
loop_
_atom_site_label
_atom_site_type_symbol
_atom_site_fract_x
_atom_site_fract_y
_atom_site_fract_z
_atom_site_occupancy
Tm1 Tm 0.000 0.000 0.000 1
Zn1 Zn 0.000 0.500 0.250 1
As1 As 0.000 0.000 0.500 1
As2 As 0.000 0.500 0.750 1
O1 O 0.000 0.187 0.320 1
O2 O 0.000 0.314 0.927 1
# * density of states at the Fermi level: 0.842 states/eV per atom
# * formation energy without anion corrections: -1.612 eV per atom
# * crystal system: tetragonal


[3]
# Dy4HgRu, optimized geometry, DFT PBE-GGA
data_Dy4HgRu
_symmetry_space_group_name_H-M 'P 1 21/c 1'
_symmetry_Int_Tables_number 14
_cell_length_a 7.546
_cell_length_b 6.922
_cell_length_c 6.720
_cell_angle_alpha 90.00
_cell_angle_beta 90.57
_cell_angle_gamma 90.00
loop_
_symmetry_equiv_pos_as_xyz
'x,y,z'
'-x,-y,-z'
'-x,y+1/2,-z+1/2'
'x,-y+1/2,z+1/2'
loop_
_atom_site_label
_atom_site_type_symbol
_atom_site_fract_x
_atom_site_fract_y
_atom_site_fract_z
_atom_site_occupancy
Dy1 Dy 0.139 0.151 0.165 1
Dy2 Dy 0.303 0.647 0.133 1
Hg1 Hg 0.500 0.000 0.000 1
Ru1 Ru 0.000 0.000 0.500 1
# * density of states at the Fermi level: 0.800 states/eV per atom
# * ΔE_f: -22.4 kJ per mole of atoms
# * crystal system: monoclinic


[4]
# ZrP2PtCl, optimized geometry, DFT PBE-GGA
data_ZrP2PtCl
_symmetry_space_group_name_H-M 'P 4/m m m'
_symmetry_Int_Tables_number 123
_symmetry_space_group_name_Hall '-P 4 2'
_cell_length_a 4.687
_cell_length_b 4.687
_cell_length_c 4.714
_cell_angle_alpha 90.00
_cell_angle_beta 90.00
_cell_angle_gamma 90.00
loop_
_atom_site_label
_atom_site_type_symbol
_atom_site_fract_x
_atom_site_fract_y
_atom_site_fract_z
_atom_site_occupancy
Zr1 Zr 0.000 0.000 0.000 1
P1 P 0.000 0.500 0.500 1
Pt1 Pt 0.500 0.500 0.500 1
Cl1 Cl 0.500 0.500 0.000 1
# * density of states at the Fermi level: 0.459 states/eV per atom
# * formation energy without anion corrections: 0.307 eV per atom
# * crystal system: tetragonal


[5]
# RbCdTe2, optimized geometry, DFT PBE-GGA
data_RbCdTe2
_symmetry_space_group_name_H-M 'I -4 2 d'
_symmetry_Int_Tables_number 122
_symmetry_space_group_name_Hall 'I -4 2bw'
_cell_length_a 8.726
_cell_length_b 8.726
_cell_length_c 8.121
_cell_angle_alpha 90.00
_cell_angle_beta 90.00
_cell_angle_gamma 90.00
loop_
_atom_site_label
_atom_site_type_symbol
_atom_site_fract_x
_atom_site_fract_y
_atom_site_fract_z
_atom_site_occupancy
Rb1 Rb 0.000 0.000 0.000 1
Cd1 Cd 0.000 0.000 0.500 1
Te1 Te 0.174 0.250 0.625 1
# * density of states at the Fermi level: 0.891 states/eV per atom
# * formation energy without anion corrections: -0.500 eV per atom
# * crystal system: tetragonal


[6]
# Ac4PrSn, optimized geometry, DFT PBE-GGA
data_Ac4PrSn
_symmetry_space_group_name_H-M 'C m c 21'
_symmetry_Int_Tables_number 36
_cell_length_a 6.266
_cell_length_b 24.106
_cell_length_c 7.358
_cell_angle_alpha 90.00
_cell_angle_beta 90.00
_cell_angle_gamma 90.00
loop_
_symmetry_equiv_pos_as_xyz
'x,y,z'
'-x,-y,z+1/2'
'-x,y,z'
'x,-y,z+1/2'
'x+1/2,y+1/2,z'
'-x+1/2,-y+1/2,z+1/2'
'-x+1/2,y+1/2,z'
'x+1/2,-y+1/2,z+1/2'
loop_
_atom_site_label
_atom_site_type_symbol
_atom_site_fract_x
_atom_site_fract_y
_atom_site_fract_z
_atom_site_occupancy
Ac1 Ac 0.000 0.058 0.000 1
Ac2 Ac 0.000 0.201 0.238 1
Ac3 Ac 0.000 0.202 0.748 1
Ac4 Ac 0.000 0.373 0.987 1
Pr1 Pr 0.000 0.335 0.491 1
Sn1 Sn 0.000 0.079 0.500 1
# * density of states at the Fermi level: 1.335 states/eV per atom
# * ΔE_f: 0.4 kJ per mole of atoms
# * crystal system: orthorhombic


[7]
# DyAl9Ni2, optimized geometry, DFT PBE-GGA
data_DyAl9Ni2
_symmetry_space_group_name_H-M 'I 41/a m d'
_symmetry_Int_Tables_number 141
_cell_length_a 10.536
_cell_length_b 10.536
_cell_length_c 6.943
_cell_angle_alpha 90.00
_cell_angle_beta 90.00
_cell_angle_gamma 90.00
loop_
_symmetry_equiv_pos_as_xyz
'x,y,z'
'-x,-y,-z'
'-y+1/4,x+3/4,z+1/4'
'y+1/4,-x+3/4,-z+1/4'
'-x+1/2,-y,z+1/2'
'x+1/2,y,-z+1/2'
'y+1/4,-x+1/4,z+3/4'
'-y+1/4,x+1/4,-z+3/4'
'x,-y,-z'
'-x,y,z'
'-y+1/4,-x+1/4,-z+3/4'
'y+1/4,x+1/4,z+3/4'
'-x+1/2,y,-z+1/2'
'x+1/2,-y,z+1/2'
'y+1/4,x+3/4,-z+1/4'
'-y+1/4,-x+3/4,z+1/4'
'x+1/2,y+1/2,z+1/2'
'-x+1/2,-y+1/2,-z+1/2'
'-y+3/4,x+1/4,z+3/4'
'y+3/4,-x+1/4,-z+3/4'
'-x,-y+1/2,z'
'x,y+1/2,-z'
'y+3/4,-x+3/4,z+1/4'
'-y+3/4,x+3/4,-z+1/4'
'x+1/2,-y+1/2,-z+1/2'
'-x+1/2,y+1/2,z+1/2'
'-y+3/4,-x+3/4,-z+1/4'
'y+3/4,x+3/4,z+1/4'
'-x,y+1/2,-z'
'x,-y+1/2,z'
'y+3/4,x+1/4,-z+3/4'
'-y+3/4,-x+1/4,z+3/4'
loop_
_atom_site_label
_atom_site_type_symbol
_atom_site_fract_x
_atom_site_fract_y
_atom_site_fract_z
_atom_site_occupancy
Dy1 Dy 0.000 0.250 0.375 1
Al1 Al 0.000 0.250 0.875 1
Al2 Al 0.122 0.052 0.686 1
Ni1 Ni 0.000 0.000 0.000 1
# * density of states at the Fermi level: 0.386 states/eV per atom
# * ΔE_f: -33.1 kJ per mole of atoms
# * crystal system: tetragonal


[8]
# La2ZrBr, optimized geometry, DFT PBE-GGA
data_La2ZrBr
_symmetry_space_group_name_H-M 'F m -3 m'
_symmetry_Int_Tables_number 225
_symmetry_space_group_name_Hall '-F 4 2 3'
_cell_length_a 7.829
_cell_length_b 7.829
_cell_length_c 7.829
_cell_angle_alpha 90.00
_cell_angle_beta 90.00
_cell_angle_gamma 90.00
loop_
_atom_site_label
_atom_site_type_symbol
_atom_site_fract_x
_atom_site_fract_y
_atom_site_fract_z
_atom_site_occupancy
La1 La 0.250 0.250 0.250 1
Zr1 Zr 0.000 0.000 0.000 1
Br1 Br 0.000 0.000 0.500 1
# * density of states at the Fermi level: 1.489 states/eV per atom
# * formation energy without anion corrections: 0.042 eV per atom
# * crystal system: cubic


[9]
# FeReMo, optimized geometry, DFT PBE-GGA
data_FeReMo
_symmetry_space_group_name_H-M 'I m m 2'
_symmetry_Int_Tables_number 44
_cell_length_a 2.599
_cell_length_b 4.058
_cell_length_c 8.168
_cell_angle_alpha 90.00
_cell_angle_beta 90.00
_cell_angle_gamma 90.00
loop_
_symmetry_equiv_pos_as_xyz
'x,y,z'
'-x,-y,z'
'-x,y,z'
'x,-y,z'
'x+1/2,y+1/2,z+1/2'
'-x+1/2,-y+1/2,z+1/2'
'-x+1/2,y+1/2,z+1/2'
'x+1/2,-y+1/2,z+1/2'
loop_
_atom_site_label
_atom_site_type_symbol
_atom_site_fract_x
_atom_site_fract_y
_atom_site_fract_z
_atom_site_occupancy
Fe1 Fe 0.000 0.000 0.000 1
Re1 Re 0.000 0.000 0.343 1
Mo1 Mo 0.000 0.000 0.667 1
# * density of states at the Fermi level: 1.005 states/eV per atom
# * ΔE_f: 18.4 kJ per mole of atoms
# * crystal system: orthorhombic


[10]
# Tb2ZrSc5, optimized geometry, DFT PBE-GGA
data_Tb2ZrSc5
_symmetry_space_group_name_H-M 'P b a m'
_symmetry_Int_Tables_number 55
_cell_length_a 6.640
_cell_length_b 13.285
_cell_length_c 4.691
_cell_angle_alpha 90.00
_cell_angle_beta 90.00
_cell_angle_gamma 90.00
loop_
_symmetry_equiv_pos_as_xyz
'x,y,z'
'-x,-y,-z'
'-x,-y,z'
'x,y,-z'
'x+1/2,-y+1/2,-z'
'-x+1/2,y+1/2,z'
'-x+1/2,y+1/2,-z'
'x+1/2,-y+1/2,z'
loop_
_atom_site_label
_atom_site_type_symbol
_atom_site_fract_x
_atom_site_fract_y
_atom_site_fract_z
_atom_site_occupancy
Tb1 Tb 0.247 0.123 0.000 1
Zr1 Zr 0.000 0.000 0.500 1
Sc1 Sc 0.000 0.500 0.500 1
Sc2 Sc 0.002 0.246 0.500 1
Sc3 Sc 0.243 0.879 0.000 1
# * density of states at the Fermi level: 1.644 states/eV per atom
# * ΔE_f: 5.3 kJ per mole of atoms
# * crystal system: orthorhombic


[11]
# InSe2, optimized geometry, DFT PBE-GGA
data_InSe2
_symmetry_space_group_name_H-M 'P n n m'
_symmetry_Int_Tables_number 58
_cell_length_a 5.700
_cell_length_b 6.812
_cell_length_c 4.138
_cell_angle_alpha 90.00
_cell_angle_beta 90.00
_cell_angle_gamma 90.00
loop_
_symmetry_equiv_pos_as_xyz
'x,y,z'
'-x,-y,-z'
'-x,-y,z'
'x,y,-z'
'x+1/2,-y+1/2,-z+1/2'
'-x+1/2,y+1/2,z+1/2'
'-x+1/2,y+1/2,-z+1/2'
'x+1/2,-y+1/2,z+1/2'
loop_
_atom_site_label
_atom_site_type_symbol
_atom_site_fract_x
_atom_site_fract_y
_atom_site_fract_z
_atom_site_occupancy
In1 In 0.000 0.000 0.000 1
Se1 Se 0.201 0.385 0.000 1
# * density of states at the Fermi level: 0.825 states/eV per atom
# * formation energy without anion corrections: -0.227 eV per atom
# * crystal system: orthorhombic


Q: Number 8 is which compound?
A: La2ZrBr